# CoPbSO

A relaxed structure of CoPbSO (PBE+U, OQMD).

Values from the calculation:
Total energy: -5.144 eV/atom
SG: Pca2_1
Energy above the most stable polymorph in this dataset: 61.1 meV/atom

Cell: 6.292 6.990 7.165 Å, 90.00 90.00 90.00°
Element x y z (fractional)
1 Co 0.971 0.645 0.102
2 Co 0.471 0.645 0.398
3 Co 0.971 0.355 0.602
4 Co 0.471 0.355 0.898
5 O 0.879 0.893 0.023
6 O 0.379 0.893 0.477
7 O 0.879 0.107 0.523
8 O 0.379 0.107 0.977
9 Pb 0.059 0.144 0.138
10 Pb 0.559 0.144 0.362
11 Pb 0.059 0.856 0.638
12 Pb 0.559 0.856 0.862
13 S 0.340 0.597 0.097
14 S 0.840 0.597 0.403
15 S 0.340 0.403 0.597
16 S 0.840 0.403 0.903